Computed, not measured: a geometry-optimized GaHgTeI2 structure at the PBE-GGA level of DFT.

Output
For the density of states at the Fermi level, the calculation gives 2.3 states/eV per cell. As for the space group: P4/mmm, No. 123. Its uncorrected formation energy is 0.0530 eV per atom. The calculation puts the energy relative to the lowest polymorph listed for this composition at 0.000 eV/atom.

Cell: 5.6610 5.6610 5.5153 Å, 90.00 90.00 90.00°
Closest atoms and distances in Å follow each position.
Element x y z (fractional)
I  0.0000  0.5000  0.0000  2 Ga 2.83
I  0.5000  0.0000  0.0000  2 Ga 2.83
Te  0.0000  0.0000  0.5000  2 Ga 2.76
Hg  0.5000  0.5000  0.5000  8 I 3.95, 4 Te 4.00
Ga  0.0000  0.0000  0.0000  2 Te 2.76, 4 I 2.83

Computed, not measured: a geometry-optimized Sr2MnMo structure at the PBE-GGA level of DFT.

Output
For the density of states at the Fermi level, the calculation gives 6.1 states/eV per cell. As for the space group: R-3m, No. 166. The calculation puts the energy relative to the lowest polymorph listed for this composition at 0.758 eV/atom. The value obtained for the formation energy is 1.23 eV per atom.

Cell: 10.6930 10.6930 10.6930 Å, 18.63 18.63 18.63°
Closest atoms and distances in Å follow each position.
Element x y z (fractional)
Mn  0.2500  0.2500  0.2500  6 Sr 3.40, 6 Mn 3.46
Mo  0.7500  0.7500  0.7500  6 Sr 3.20, 6 Mo 3.46
Sr  0.0039  0.0039  0.0039  3 Mo 3.20, 3 Mn 3.40, 6 Sr 3.46
Sr  0.4961  0.4961  0.4961  3 Mo 3.20, 3 Mn 3.40, 6 Sr 3.46

Computed, not measured: a geometry-optimized Pr2Sm2Th structure at the PBE-GGA level of DFT.

Output
For the density of states at the Fermi level, the calculation gives 8.3 states/eV per cell. As for the space group: I4/mmm, No. 139. The calculation puts the energy relative to the lowest polymorph listed for this composition at 0.371 eV/atom. The value obtained for the formation energy is 0.39 eV per atom.

Cell: 4.6452 4.6452 8.8451 Å, 105.22 105.22 90.00°
Closest atoms and distances in Å follow each position.
Element x y z (fractional)
Pr  0.4064  0.4064  0.8129  1 Pr 3.07
Pr  0.5936  0.5936  0.1871  1 Pr 3.07
Sm  0.7500  0.2500  0.5000  4 Sm 3.28, 4 Pr 3.46
Sm  0.2500  0.7500  0.5000  4 Sm 3.28, 4 Pr 3.46
Th  0.0000  0.0000  0.0000  8 Pr 3.63

Computed, not measured: a geometry-optimized Sr2YUAs4 structure at the PBE-GGA level of DFT.

Output
For the density of states at the Fermi level, the calculation gives 4.8 states/eV per cell. As for the space group: P2/m, No. 10. The value obtained for the formation energy is -1.15 eV per atom.

Cell: 4.2735 7.3182 7.5282 Å, 108.91 90.00 90.00°
Closest atoms and distances in Å follow each position.
Element x y z (fractional)
Sr  0.5000  0.0000  0.5000  6 As 3.21-3.23
Sr  0.0000  0.5000  0.5000  6 As 3.13-3.14
Y  0.0000  0.0000  0.0000  6 As 2.93-2.95
U  0.5000  0.5000  0.0000  6 As 2.82-2.87
As  0.5000  0.2512  0.2183  1 U 2.82, 2 Y 2.95, 2 Sr 3.14
As  0.5000  0.7488  0.7817  1 U 2.82, 2 Y 2.95, 2 Sr 3.14
As  0.0000  0.2698  0.7850  2 U 2.87, 1 Y 2.93, 3 Sr 3.13-3.21
As  0.0000  0.7302  0.2150  2 U 2.87, 1 Y 2.93, 3 Sr 3.13-3.21

Computed, not measured: a geometry-optimized CePr3Au4 structure at the PBE-GGA level of DFT.

Output
For the density of states at the Fermi level, the calculation gives 13.8 states/eV per cell. As for the space group: R-3m, No. 166. The value obtained for the formation energy is -0.70 eV per atom.

Cell: 5.2857 5.2857 9.1503 Å, 73.21 73.21 60.00°
Closest atoms and distances in Å follow each position.
Element x y z (fractional)
Pr  0.2506  0.2506  0.2481  8 Au 3.20-3.28
Pr  0.7494  0.7494  0.7519  8 Au 3.20-3.28
Pr  0.5000  0.5000  0.5000  8 Au 3.25
Au  0.8760  0.8760  0.3720  1 Ce 3.21, 7 Pr 3.23-3.28
Au  0.3745  0.3745  0.8766  5 Pr 3.20-3.25, 3 Ce 3.23
Au  0.1240  0.1240  0.6280  1 Ce 3.21, 7 Pr 3.23-3.28
Au  0.6255  0.6255  0.1234  5 Pr 3.20-3.25, 3 Ce 3.23
Ce  0.0000  0.0000  0.0000  8 Au 3.21-3.23

Computed, not measured: a geometry-optimized Na2TlAg2 structure at the PBE-GGA level of DFT.

Output
For the density of states at the Fermi level, the calculation gives 3.2 states/eV per cell. As for the space group: C2/c, No. 15. The calculation puts the energy relative to the lowest polymorph listed for this composition at 0.000 eV/atom. The value obtained for the formation energy is -0.04 eV per atom.

Cell: 5.9722 5.9722 8.5099 Å, 77.22 77.22 59.20°
Closest atoms and distances in Å follow each position.
Element x y z (fractional)
Na  0.4905  0.1980  0.1534  6 Ag 3.17-3.30, 3 Tl 3.32-3.53
Na  0.8020  0.5095  0.3466  6 Ag 3.17-3.30, 3 Tl 3.32-3.53
Na  0.5095  0.8020  0.8466  6 Ag 3.17-3.30, 3 Tl 3.32-3.53
Na  0.1980  0.4905  0.6534  6 Ag 3.17-3.30, 3 Tl 3.32-3.53
Tl  0.1961  0.8039  0.2500  4 Ag 2.89-2.91
Tl  0.8039  0.1961  0.7500  4 Ag 2.89-2.91
Ag  0.7338  0.0021  0.4920  1 Ag 2.78, 2 Tl 2.89-2.91
Ag  0.9979  0.2662  0.0080  1 Ag 2.78, 2 Tl 2.89-2.91
Ag  0.2662  0.9979  0.5080  1 Ag 2.78, 2 Tl 2.89-2.91
Ag  0.0021  0.7338  0.9920  1 Ag 2.78, 2 Tl 2.89-2.91

Computed, not measured: a geometry-optimized Be3SnPt structure at the PBE-GGA level of DFT.

Output
For the density of states at the Fermi level, the calculation gives 1.6 states/eV per cell. As for the space group: Pm-3m, No. 221. The calculation puts the energy relative to the lowest polymorph listed for this composition at 0.000 eV/atom. The value obtained for the formation energy is 0.17 eV per atom.

Cell: 4.3578 4.3578 4.3578 Å, 90.00 90.00 90.00°
Closest atoms and distances in Å follow each position.
Element x y z (fractional)
Be  0.0000  0.5000  0.0000  2 Pt 2.18
Be  0.0000  0.0000  0.5000  2 Pt 2.18
Be  0.5000  0.0000  0.0000  2 Pt 2.18
Sn  0.5000  0.5000  0.5000  12 Be 3.08
Pt  0.0000  0.0000  0.0000  6 Be 2.18

Computed, not measured: a geometry-optimized Cs2PuSnCl6 structure at the PBE-GGA level of DFT.

Output
For the density of states at the Fermi level, the calculation gives 38.5 states/eV per cell. As for the space group: Pmmn, No. 59. Its uncorrected formation energy is -1.6473 eV per atom.

Cell: 8.0108 8.0190 11.3394 Å, 90.00 90.00 90.00°
Closest atoms and distances in Å follow each position.
Element x y z (fractional)
Cs  0.5000  0.7494  0.2500  12 Cl 4.00-4.02
Cs  0.0000  0.2506  0.7500  12 Cl 4.00-4.02
Cs  0.5000  0.7494  0.7500  12 Cl 4.00-4.02
Cs  0.0000  0.2506  0.2500  12 Cl 4.00-4.02
Pu  0.0000  0.7487  0.5000  6 Cl 2.78
Pu  0.5000  0.2513  0.0000  6 Cl 2.78
Sn  0.5000  0.2487  0.5000  6 Cl 2.88-2.89
Sn  0.0000  0.7513  0.0000  6 Cl 2.88-2.89
Cl  0.5000  0.2506  0.2455  1 Pu 2.78, 1 Sn 2.89
Cl  0.5000  0.2506  0.7545  1 Pu 2.78, 1 Sn 2.89
Cl  0.0000  0.7494  0.2545  1 Pu 2.78, 1 Sn 2.89
Cl  0.0000  0.7494  0.7455  1 Pu 2.78, 1 Sn 2.89
Cl  0.2460  0.9940  0.5000  1 Pu 2.78, 1 Sn 2.88
Cl  0.7540  0.9940  0.5000  1 Pu 2.78, 1 Sn 2.88
Cl  0.2452  0.5026  0.5000  1 Pu 2.78, 1 Sn 2.88
Cl  0.7548  0.5026  0.5000  1 Pu 2.78, 1 Sn 2.88
Cl  0.7452  0.4974  0.0000  1 Pu 2.78, 1 Sn 2.88
Cl  0.2548  0.4974  0.0000  1 Pu 2.78, 1 Sn 2.88
Cl  0.2540  0.0060  0.0000  1 Pu 2.78, 1 Sn 2.88
Cl  0.7460  0.0060  0.0000  1 Pu 2.78, 1 Sn 2.88

Computed, not measured: a geometry-optimized Ca2LaTe structure at the PBE-GGA level of DFT.

Output
For the density of states at the Fermi level, the calculation gives 3.1 states/eV per cell. As for the space group: I4/mmm, No. 139. Its uncorrected formation energy is -0.5439 eV per atom.

Cell: 6.9472 6.9472 6.9472 Å, 139.97 139.97 57.90°
Closest atoms and distances in Å follow each position.
Element x y z (fractional)
Ca  0.0000  0.0000  0.0000  4 Ca 3.36
Ca  0.5000  0.5000  0.0000  4 Ca 3.36
Te  0.7500  0.2500  0.5000  4 La 3.36
La  0.2500  0.7500  0.5000  4 Te 3.36

Computed, not measured: a geometry-optimized TaTcS2 structure at the PBE-GGA level of DFT.

Output
For the density of states at the Fermi level, the calculation gives 3.1 states/eV per cell. As for the space group: Fm-3m, No. 225. Its uncorrected formation energy is -0.2174 eV per atom. The calculation puts the energy relative to the lowest polymorph listed for this composition at 0.085 eV/atom.

Cell: 4.2974 4.2974 4.2974 Å, 60.00 60.00 60.00°
Closest atoms and distances in Å follow each position.
Element x y z (fractional)
S  0.2500  0.2500  0.2500  4 Ta 2.63, 4 Tc 2.63
S  0.7500  0.7500  0.7500  4 Ta 2.63, 4 Tc 2.63
Tc  0.0000  0.0000  0.0000  8 S 2.63
Ta  0.5000  0.5000  0.5000  8 S 2.63

Computed, not measured: a geometry-optimized ZnTcNi3 structure at the PBE-GGA level of DFT.

Output
For the density of states at the Fermi level, the calculation gives 3.8 states/eV per cell. As for the space group: Pm-3m, No. 221. The calculation puts the energy relative to the lowest polymorph listed for this composition at 0.000 eV/atom. The value obtained for the formation energy is 1.16 eV per atom.

Cell: 4.2663 4.2663 4.2663 Å, 90.00 90.00 90.00°
Closest atoms and distances in Å follow each position.
Element x y z (fractional)
Ni  0.0000  0.5000  0.0000  2 Zn 2.13
Ni  0.0000  0.0000  0.5000  2 Zn 2.13
Ni  0.5000  0.0000  0.0000  2 Zn 2.13
Zn  0.0000  0.0000  0.0000  6 Ni 2.13
Tc  0.5000  0.5000  0.5000  12 Ni 3.02

Computed, not measured: a geometry-optimized TlTeCl structure at the PBE-GGA level of DFT.

Output
As for the space group: P1, No. 1. Its uncorrected formation energy is -0.5910 eV per atom.

Cell: 4.1656 4.1729 12.6926 Å, 96.86 95.61 90.20°
Closest atoms and distances in Å follow each position.
Element x y z (fractional)
Tl  0.9622  0.9261  0.0101  4 Cl 3.10-3.14
Tl  0.5018  0.5721  0.3610  5 Cl 3.09-3.38
Te  0.9189  0.3442  0.7528  3 Te 2.86-3.08
Te  0.4382  0.7800  0.6831  3 Te 2.86-3.08
Cl  0.4897  0.4607  0.0923  5 Tl 3.10-3.38
Cl  0.0183  0.1047  0.4408  4 Tl 3.09-3.15